Below is an optimized crystal structure of Sc2GaHRh, with properties calculated at the GGA-PBE level.

Cell and atoms, written as CIF:
```
data_Sc2GaHRh
_cell_length_a 4.428
_cell_length_b 4.428
_cell_length_c 3.733
_cell_angle_alpha 90.00
_cell_angle_beta 90.00
_cell_angle_gamma 90.00
_space_group_name_H-M_alt 'P 1'
_space_group_IT_number 1
loop_
_space_group_symop_operation_xyz
'x,y,z'
loop_
_atom_site_label
_atom_site_type_symbol
_atom_site_fract_x
_atom_site_fract_y
_atom_site_fract_z
Sc1 Sc 0.000 0.500 0.000
Sc2 Sc 0.500 0.000 0.000
Ga1 Ga 0.000 0.000 0.500
H1 H 0.000 0.000 0.000
Rh1 Rh 0.500 0.500 0.500
```

Total magnetic moment ... 0.0000 μB per atom
E above lowest polymorph ... 172 meV/atom

***

Below is an optimized crystal structure of Ac2PrS3, with properties calculated at the GGA-PBE level.

Cell and atoms, written as CIF:
```
data_Ac2PrS3
_cell_length_a 13.974
_cell_length_b 13.322
_cell_length_c 7.365
_cell_angle_alpha 79.30
_cell_angle_beta 69.51
_cell_angle_gamma 31.19
_space_group_name_H-M_alt 'P 1'
_space_group_IT_number 1
loop_
_space_group_symop_operation_xyz
'x,y,z'
loop_
_atom_site_label
_atom_site_type_symbol
_atom_site_fract_x
_atom_site_fract_y
_atom_site_fract_z
Ac1 Ac 0.042 0.042 0.208
Ac2 Ac 0.125 0.125 0.625
Ac3 Ac 0.208 0.208 0.042
Ac4 Ac 0.375 0.375 0.875
Ac5 Ac 0.625 0.625 0.125
Ac6 Ac 0.792 0.792 0.958
Ac7 Ac 0.875 0.875 0.375
Ac8 Ac 0.958 0.958 0.792
Pr1 Pr 0.292 0.292 0.458
Pr2 Pr 0.458 0.458 0.292
Pr3 Pr 0.542 0.542 0.708
Pr4 Pr 0.708 0.708 0.542
S1 S 0.040 0.541 0.218
S2 S 0.134 0.616 0.616
S3 S 0.218 0.702 0.040
S4 S 0.298 0.782 0.459
S5 S 0.384 0.866 0.866
S6 S 0.459 0.960 0.298
S7 S 0.541 0.040 0.702
S8 S 0.616 0.134 0.134
S9 S 0.702 0.218 0.541
S10 S 0.782 0.298 0.960
S11 S 0.866 0.384 0.384
S12 S 0.960 0.459 0.782
```

Total magnetic moment ... 0.0000 μB per atom
Uncorrected formation energy ... -2010 meV/atom

***

Below is an optimized crystal structure of KIrAu, with properties calculated at the GGA-PBE level.

Cell and atoms, written as CIF:
```
data_KIrAu
_cell_length_a 5.338
_cell_length_b 4.616
_cell_length_c 6.225
_cell_angle_alpha 90.00
_cell_angle_beta 107.69
_cell_angle_gamma 90.00
_space_group_name_H-M_alt 'P 1'
_space_group_IT_number 1
loop_
_space_group_symop_operation_xyz
'x,y,z'
loop_
_atom_site_label
_atom_site_type_symbol
_atom_site_fract_x
_atom_site_fract_y
_atom_site_fract_z
K1 K 0.243 0.250 0.038
K2 K 0.757 0.750 0.962
Ir1 Ir 0.103 0.750 0.507
Ir2 Ir 0.897 0.250 0.493
Au1 Au 0.415 0.250 0.574
Au2 Au 0.585 0.750 0.426
```

Total magnetic moment ... 0.0000 μB per atom
E above lowest polymorph ... 0 meV/atom
Formation enthalpy at 0 K ... 0.1060 eV per atom